Below is ReAgPd2 after structural relaxation, with properties calculated at the PBE level.

Summary:
E (eV/atom): -6.362
Distance to the lowest polymorph of the same formula (meV/atom): 0.0
Mass density (g cm⁻³): 13.4
Energy of formation from the pure elements (eV/f.u.): 0.2

Cell lengths 2.7965, 2.7965, 27.7620 Å; angles 90.00, 90.00, 120.00 degrees
Last column: nearest neighbours and their distance in Å.
Space group R-3m (No. 166, hexagonal axes)
Symmetry-distinct sites (fractional):
Re 0.0000 0.0000 0.0000 [3 per cell]  6 Pd 2.73, 6 Re 2.80
Ag 0.0000 0.0000 0.5000 [3 per cell]  6 Ag 2.80, 6 Pd 2.91
Pd 0.0000 0.0000 0.2539 [6 per cell]  3 Re 2.73, 6 Pd 2.80, 3 Ag 2.91

Below is Sr4Al5Si6 after structural relaxation, with properties calculated at the PBE level.

Summary:
E (eV/atom): -4.142
Mass density (g cm⁻³): 3.1
Formation energy (no corrections) (eV/atom): -0.276

Cell lengths 4.3736, 19.5514, 16.2622 Å; angles 90.00, 90.00, 90.00 degrees
Last column: nearest neighbours and their distance in Å.
Space group Cmc2_1 (No. 36)
Symmetry-distinct sites (fractional):
Sr 0.0000 0.0071 0.0000 [4 per cell]  7 Si 3.18-3.33, 3 Al 3.38-3.42
Sr 0.0000 0.0243 0.2600 [4 per cell]  6 Si 3.12-3.20, 5 Al 3.16-3.26
Sr 0.0000 0.1727 0.8104 [4 per cell]  6 Si 3.15-3.24
Sr 0.0000 0.1778 0.4441 [4 per cell]  6 Si 3.11-3.23
Al 0.0000 0.1439 0.1271 [4 per cell]  4 Si 2.48-2.62
Al 0.0000 0.2921 0.1264 [4 per cell]  4 Si 2.56-2.73, 1 Al 2.81
Al 0.0000 0.3521 0.7631 [4 per cell]  4 Si 2.57-2.67
Al 0.0000 0.3588 0.4867 [4 per cell]  4 Si 2.59-2.68
Al 0.0000 0.4285 0.1799 [4 per cell]  2 Si 2.58, 1 Al 2.81
Si 0.0000 0.1241 0.6241 [4 per cell]  4 Al 2.58-2.73
Si 0.0000 0.2118 0.9984 [4 per cell]  4 Al 2.48-2.61
Si 0.0000 0.2164 0.2547 [4 per cell]  4 Al 2.51-2.57
Si 0.0000 0.4297 0.6277 [4 per cell]  5 Al 2.62-2.90
Si 0.0000 0.4343 0.8881 [4 per cell]  1 Si 2.44, 1 Al 2.59
Si 0.0000 0.4436 0.3569 [4 per cell]  1 Si 2.44, 1 Al 2.68

Below is TbHoEr3Th after structural relaxation, with properties calculated at the PBE level.

Summary:
E (eV/atom): -5.029
Mass density (g cm⁻³): 9.4
Energy of formation from the pure elements (eV/f.u.): 0.1

Cell lengths 10.5754, 3.5435, 10.5770 Å; angles 90.00, 109.22, 90.00 degrees
Last column: nearest neighbours and their distance in Å.
Space group P2_1/m (No. 11)
Symmetry-distinct sites (fractional):
Tb 0.1259 0.2500 0.1271 [2 per cell]  6 Er 3.51-3.54, 2 Th 3.53, 4 Tb 3.54-3.57
Ho 0.2928 0.2500 0.6223 [2 per cell]  3 Th 3.49-3.50, 7 Er 3.54-3.55, 2 Ho 3.54
Er 0.0414 0.7500 0.3743 [2 per cell]  2 Tb 3.51, 3 Ho 3.54-3.55, 6 Er 3.54, 1 Th 3.54
Er 0.2094 0.7500 0.8752 [2 per cell]  7 Er 3.52-3.54, 3 Tb 3.54, 2 Ho 3.55
Er 0.4581 0.2500 0.1264 [2 per cell]  2 Th 3.51, 1 Tb 3.52, 7 Er 3.52-3.55, 2 Ho 3.54
Th 0.3766 0.7500 0.3753 [2 per cell]  3 Ho 3.49-3.50, 3 Er 3.51-3.54, 4 Th 3.52-3.54, 2 Tb 3.53

Below is SiAs2Au after structural relaxation, with properties calculated at the PBE level.

Summary:
E (eV/atom): -4.065
Mass density (g cm⁻³): 8.5
Formation energy (no corrections) (eV/atom): 0.435

Cell lengths 5.7133, 9.2689, 2.8442 Å; angles 90.00, 103.15, 90.00 degrees
Last column: nearest neighbours and their distance in Å.
Space group C2/m (No. 12)
Symmetry-distinct sites (fractional):
Si 0.0000 0.0000 0.0000 [2 per cell]  2 Si 2.84, 2 Au 2.86, 4 As 2.92
As 0.2500 0.2500 0.5000 [4 per cell]  4 As 2.84-2.86, 2 Si 2.92, 2 Au 2.92
Au 0.0000 0.5000 0.0000 [2 per cell]  2 Au 2.84, 2 Si 2.86, 4 As 2.92

Below is Re4SiAu after structural relaxation, with properties calculated at the PBE level.

Summary:
E (eV/atom): -8.923
Mass density (g cm⁻³): 16.2
Formation energy (no corrections) (eV/atom): 0.826

Cell lengths 7.3464, 7.3464, 7.3464 Å; angles 90.00, 90.00, 90.00 degrees
Last column: nearest neighbours and their distance in Å.
Space group F-43m (No. 216)
Symmetry-distinct sites (fractional):
Re 0.1240 0.1240 0.3760 [16 per cell]  6 Re 2.58-2.62
Si 0.0000 0.0000 0.0000 [4 per cell]  12 Re 3.05, 4 Au 3.18
Au 0.2500 0.2500 0.7500 [4 per cell]  12 Re 3.04, 4 Si 3.18

Below is PmBeAl after structural relaxation, with properties calculated at the PBE level.

Summary:
E (eV/atom): -4.272
Distance to the lowest polymorph of the same formula (meV/atom): 9.9
Mass density (g cm⁻³): 4.9
Energy of formation from the pure elements (eV/f.u.): -0.6

Cell lengths 4.3504, 4.3504, 3.7507 Å; angles 90.00, 90.00, 120.00 degrees
Last column: nearest neighbours and their distance in Å.
Space group P-6m2 (No. 187)
Symmetry-distinct sites (fractional):
Pm 0.0000 0.0000 0.0000 [1 per cell]  6 Be 3.13, 6 Al 3.13
Be 0.3333 0.6667 0.5000 [1 per cell]  3 Al 2.51
Al 0.6667 0.3333 0.5000 [1 per cell]  3 Be 2.51

Below is BeNi2Ru after structural relaxation, with properties calculated at the PBE level.

Summary:
E (eV/atom): -5.881
Mass density (g cm⁻³): 8.1
Energy of formation from the pure elements (eV/f.u.): 1.0

Cell lengths 3.3146, 3.3146, 16.9511 Å; angles 90.00, 90.00, 90.00 degrees
Last column: nearest neighbours and their distance in Å.
Space group I-42d (No. 122)
Symmetry-distinct sites (fractional):
Be 0.0000 0.0000 0.0000 [4 per cell]  4 Ru 2.34, 4 Ni 2.41
Ni 0.2398 0.2500 0.1250 [8 per cell]  4 Ni 2.30-2.39, 2 Be 2.41, 2 Ru 2.43
Ru 0.0000 0.0000 0.5000 [4 per cell]  4 Be 2.34, 4 Ni 2.43

Below is AlSbPt2 after structural relaxation, with properties calculated at the PBE level.

Summary:
E (eV/atom): -5.257
Distance to the lowest polymorph of the same formula (meV/atom): 278.5
Mass density (g cm⁻³): 10.8
Formation energy (no corrections) (eV/atom): -0.270

Cell lengths 3.8097, 3.8097, 19.7803 Å; angles 90.00, 90.00, 120.00 degrees
Last column: nearest neighbours and their distance in Å.
Space group R3m (No. 160, hexagonal axes)
Symmetry-distinct sites (fractional):
Al 0.0000 0.0000 0.0000 [3 per cell]  3 Pt 2.44
Sb 0.0000 0.0000 0.2124 [3 per cell]  3 Pt 2.64
Pt 0.0000 0.0000 0.4720 [3 per cell]  3 Sb 2.64, 3 Pt 2.77
Pt 0.0000 0.0000 0.7203 [3 per cell]  3 Al 2.44